## MnSe3O9 (PBE+U)

Data for a relaxed MnSe3O9 crystal.

Properties
crystal system	monoclinic
ρ	3.245	g/cm³
total energy	-5.55	eV per atom

abc: 8.0168 8.0168 10.1281
angles: 119.97 119.97 56.25
Fractional positions:
Mn 0.2069 0.7931 0.5000
Mn 0.7931 0.2069 0.0000
Se 0.0022 0.2872 0.7996
Se 0.2872 0.0022 0.2996
Se 0.2982 0.4234 0.6706
Se 0.4234 0.2982 0.1706
Se 0.7310 0.7425 0.2294
Se 0.7425 0.7310 0.7294
O 0.0647 0.1487 0.6322
O 0.1487 0.0647 0.1322
O 0.1596 0.9469 0.3477
O 0.1715 0.3968 0.9445
O 0.2951 0.6161 0.6479
O 0.3566 0.5098 0.3230
O 0.3968 0.1715 0.4445
O 0.4848 0.8539 0.6573
O 0.5098 0.3566 0.8230
O 0.5168 0.7571 0.2665
O 0.6134 0.8771 0.1057
O 0.6161 0.2951 0.1479
O 0.7571 0.5168 0.7665
O 0.8369 0.8813 0.9064
O 0.8539 0.4848 0.1573
O 0.8771 0.6134 0.6057
O 0.8813 0.8369 0.4064
O 0.9469 0.1596 0.8477